The following is a DFT calculation (GGA-PBE) of an optimized crystal structure of ScSbPt2.

Summary:
The final energy comes out at -6.3644 eV per atom. The value obtained for the mass density is 11.383 g/cm³. The value obtained for the total magnetic moment is 0.0 μB per formula unit.

abc: 4.403 4.403 14.517
angles: 90.00 90.00 120.00
Sites, in units of the cell vectors:
Sc 0.000 0.000 0.000
Sc 0.333 0.667 0.667
Sc 0.667 0.333 0.333
Sb 0.000 0.000 0.801
Sb 0.333 0.667 0.468
Sb 0.667 0.333 0.134
Pt 0.000 0.000 0.220
Pt 0.000 0.000 0.412
Pt 0.333 0.667 0.079
Pt 0.333 0.667 0.887
Pt 0.667 0.333 0.553
Pt 0.667 0.333 0.746